Record 1
CdSb2Au2 | PBE-GGA | relaxed

Mass density in Mg/m³: 9.92
SG: P2_1/m (11)
Formation energy from raw total energies in eV per atom: -0.023
E_tot in eV per cell: -31.7
Offset from the most stable computed form in meV per atom: 0.0
Crystal system: monoclinic

Lattice parameters (Å, degrees): 5.715 4.421 10.080 90.00 99.67 90.00
Sites, in units of the cell vectors:
Cd 0.179 0.250 0.218
Cd 0.821 0.750 0.782
Sb 0.271 0.250 0.565
Sb 0.314 0.250 0.880
Sb 0.686 0.750 0.120
Sb 0.729 0.750 0.435
Au 0.188 0.750 0.032
Au 0.220 0.750 0.395
Au 0.780 0.250 0.605
Au 0.812 0.250 0.968

***

Record 2
Ho8TlPt2 | PBE-GGA | relaxed

Mass density in Mg/m³: 10.33
Formation energy in eV per formula unit: -5.46
SG: C2/m (12)
E_tot in eV per cell: -56.5
Crystal system: monoclinic

Lattice parameters (Å, degrees): 8.002 8.002 5.455 98.13 98.13 114.14
Sites, in units of the cell vectors:
Ho 0.079 0.331 0.578
Ho 0.244 0.756 0.000
Ho 0.331 0.079 0.578
Ho 0.392 0.392 0.196
Ho 0.608 0.608 0.804
Ho 0.669 0.921 0.422
Ho 0.756 0.244 0.000
Ho 0.921 0.669 0.422
Tl 0.000 0.000 0.000
Pt 0.305 0.695 0.500
Pt 0.695 0.305 0.500

***

Record 3
MgTc2Ru2 | PBE-GGA | relaxed

Mass density in Mg/m³: 8.90
Formation energy in eV per formula unit: 0.59
SG: P4/mbm (127)
E_tot in eV per cell: -80.6
Offset from the most stable computed form in meV per atom: 7.6
Crystal system: tetragonal

Lattice parameters (Å, degrees): 7.556 7.556 2.760 90.00 90.00 90.00
Sites, in units of the cell vectors:
Mg 0.000 0.000 0.000
Mg 0.500 0.500 0.000
Tc 0.168 0.332 0.500
Tc 0.332 0.832 0.500
Tc 0.668 0.168 0.500
Tc 0.832 0.668 0.500
Ru 0.124 0.624 0.000
Ru 0.376 0.124 0.000
Ru 0.624 0.876 0.000
Ru 0.876 0.376 0.000

***

Record 4
LiErPu2O8 | PBE-GGA | relaxed

Mass density in Mg/m³: 7.00
SG: I-4m2 (119)
Formation energy from raw total energies in eV per atom: -2.213
E_tot in eV per cell: -101.4
Crystal system: tetragonal

Lattice parameters (Å, degrees): 6.244 6.244 6.244 109.35 109.35 109.72
Sites, in units of the cell vectors:
Li 0.000 0.000 0.000
Er 0.750 0.250 0.500
Pu 0.250 0.750 0.500
Pu 0.500 0.500 0.000
O 0.044 0.367 0.323
O 0.044 0.721 0.677
O 0.115 0.309 0.806
O 0.279 0.956 0.323
O 0.504 0.309 0.194
O 0.633 0.956 0.677
O 0.691 0.496 0.806
O 0.691 0.885 0.194

***

Record 5
AlTcN2 | PBE-GGA | relaxed

Mass density in Mg/m³: 5.61
SG: R-3m (166)
Formation energy from raw total energies in eV per atom: -0.035
E_tot in eV per cell: -30.9
Crystal system: trigonal

Lattice parameters (Å, degrees): 6.570 6.570 6.570 25.21 25.21 25.21
Sites, in units of the cell vectors:
Al 0.000 0.000 0.000
Tc 0.500 0.500 0.500
N 0.101 0.101 0.101
N 0.899 0.899 0.899

***

Record 6
Pr4SiSb | PBE-GGA | relaxed

Mass density in Mg/m³: 6.51
SG: C2/c (15)
Formation energy from raw total energies in eV per atom: -0.615
E_tot in eV per cell: -64.7
Crystal system: monoclinic

Lattice parameters (Å, degrees): 8.390 8.390 6.235 102.41 102.41 115.21
Sites, in units of the cell vectors:
Pr 0.074 0.711 0.933
Pr 0.218 0.372 0.666
Pr 0.289 0.926 0.567
Pr 0.372 0.218 0.166
Pr 0.628 0.782 0.834
Pr 0.711 0.074 0.433
Pr 0.782 0.628 0.334
Pr 0.926 0.289 0.067
Si 0.001 0.999 0.250
Si 0.999 0.001 0.750
Sb 0.378 0.622 0.250
Sb 0.622 0.378 0.750

***

Record 7
Al2CuPt | PBE-GGA | relaxed

Mass density in Mg/m³: 8.90
Formation energy in eV per formula unit: -2.36
SG: P4mm (99)
E_tot in eV per cell: -20.0
Crystal system: tetragonal

Lattice parameters (Å, degrees): 3.343 3.343 5.219 90.00 90.00 90.00
Sites, in units of the cell vectors:
Al 0.000 0.000 0.000
Al 0.500 0.500 0.303
Cu 0.000 0.000 0.497
Pt 0.500 0.500 0.800

***

Record 8
TbEr4Tm4 | PBE-GGA | relaxed

Mass density in Mg/m³: 9.18
Formation energy in eV per formula unit: 0.22
SG: I4/mmm (139)
E_tot in eV per cell: -40.5
Crystal system: tetragonal

Lattice parameters (Å, degrees): 7.824 7.824 7.824 95.71 95.71 143.21
Sites, in units of the cell vectors:
Tb 0.000 0.000 0.000
Er 0.333 0.333 0.666
Er 0.333 0.667 0.000
Er 0.667 0.333 0.000
Er 0.667 0.667 0.334
Tm 0.000 0.334 0.334
Tm 0.000 0.666 0.666
Tm 0.334 0.000 0.334
Tm 0.666 0.000 0.666

***

Record 9
ZrNbGa2 | PBE-GGA | relaxed

Mass density in Mg/m³: 6.73
Formation energy in eV per formula unit: 0.58
SG: I-42d (122)
E_tot in eV per cell: -48.2
Offset from the most stable computed form in meV per atom: 525.8
Crystal system: tetragonal

Lattice parameters (Å, degrees): 10.311 10.311 10.311 157.56 157.56 31.95
Sites, in units of the cell vectors:
Zr 0.000 0.000 0.000
Zr 0.750 0.250 0.500
Nb 0.250 0.750 0.500
Nb 0.500 0.500 0.000
Ga 0.147 0.625 0.022
Ga 0.375 0.397 0.522
Ga 0.603 0.125 0.978
Ga 0.875 0.853 0.478

***

Record 10
BC2 | PBE-GGA | relaxed

Mass density in Mg/m³: 3.03
Formation energy in eV per formula unit: 0.88
SG: C2/m (12)
E_tot in eV per cell: -97.0
Offset from the most stable computed form in meV per atom: 53.7
Crystal system: monoclinic

Lattice parameters (Å, degrees): 6.828 6.828 4.608 107.53 107.53 21.94
Sites, in units of the cell vectors:
B 0.084 0.084 0.084
B 0.281 0.281 0.923
B 0.719 0.719 0.077
B 0.916 0.916 0.916
C 0.106 0.106 0.448
C 0.228 0.228 0.555
C 0.404 0.404 0.084
C 0.438 0.438 0.437
C 0.562 0.562 0.563
C 0.596 0.596 0.916
C 0.772 0.772 0.445
C 0.894 0.894 0.552

***

Record 11
CaTl2Cl | PBE-GGA | relaxed

Mass density in Mg/m³: 6.39
SG: Cmmm (65)
Formation energy from raw total energies in eV per atom: -0.365
E_tot in eV per cell: -10.0
Offset from the most stable computed form in meV per atom: 473.3
Crystal system: orthorhombic

Lattice parameters (Å, degrees): 3.762 3.762 9.869 90.00 90.00 115.64
Sites, in units of the cell vectors:
Ca 0.000 0.000 0.000
Tl 0.500 0.500 0.273
Tl 0.500 0.500 0.727
Cl 0.000 0.000 0.500

***

Record 12
BeNiSn2H | PBE-GGA | relaxed

Mass density in Mg/m³: 5.63
SG: P4/mmm (123)
E_tot in eV per cell: -17.3
Crystal system: tetragonal

Lattice parameters (Å, degrees): 4.772 4.772 3.962 90.00 90.00 90.00
Sites, in units of the cell vectors:
Be 0.000 0.000 0.000
Ni 0.000 0.000 0.500
Sn 0.000 0.500 0.000
Sn 0.500 0.000 0.000
H 0.500 0.500 0.500

***

Record 13
TbZnRh | PBE-GGA | relaxed

Mass density in Mg/m³: 8.53
Formation energy in eV per formula unit: 1.26
SG: I4mm (107)
E_tot in eV per cell: -12.0
Crystal system: tetragonal

Lattice parameters (Å, degrees): 7.515 7.515 7.515 157.19 157.19 32.47
Sites, in units of the cell vectors:
Tb 0.000 0.000 0.000
Zn 0.341 0.341 0.000
Rh 0.172 0.172 0.000

***

Record 14
BIrO2 | PBE-GGA | relaxed

Mass density in Mg/m³: 11.63
SG: R-3m (166)
Formation energy from raw total energies in eV per atom: -0.862
E_tot in eV per cell: -28.9
Crystal system: trigonal

Lattice parameters (Å, degrees): 6.032 6.032 6.032 24.64 24.64 24.64
Sites, in units of the cell vectors:
B 0.000 0.000 0.000
Ir 0.500 0.500 0.500
O 0.383 0.383 0.383
O 0.617 0.617 0.617

***

Record 15
LaPrGa2Ir2 | PBE-GGA | relaxed

Mass density in Mg/m³: 10.06
Formation energy in eV per formula unit: -4.42
SG: P-3m1 (164)
E_tot in eV per cell: -37.9
Crystal system: trigonal

Lattice parameters (Å, degrees): 4.395 4.395 7.932 90.00 90.00 120.00
Sites, in units of the cell vectors:
La 0.000 0.000 0.000
Pr 0.000 0.000 0.500
Ga 0.333 0.667 0.255
Ga 0.667 0.333 0.745
Ir 0.333 0.667 0.749
Ir 0.667 0.333 0.251

***

Record 16
BaSmOsO6 | PBE-GGA | relaxed

Mass density in Mg/m³: 6.03
SG: P312 (149)
Formation energy from raw total energies in eV per atom: -2.086
E_tot in eV per cell: -66.4
Crystal system: trigonal

Lattice parameters (Å, degrees): 5.712 5.712 5.589 90.00 90.00 120.00
Sites, in units of the cell vectors:
Ba 0.000 0.000 0.000
Sm 0.333 0.667 0.500
Os 0.667 0.333 0.500
O 0.400 0.052 0.696
O 0.400 0.348 0.304
O 0.652 0.052 0.304
O 0.652 0.600 0.696
O 0.948 0.348 0.696
O 0.948 0.600 0.304

***

Record 17
CaEuAgAs | PBE-GGA | relaxed

Mass density in Mg/m³: 6.13
Formation energy in eV per formula unit: -2.95
SG: F-43m (216)
E_tot in eV per cell: -22.7
Crystal system: cubic

Lattice parameters (Å, degrees): 5.237 5.237 5.237 60.00 60.00 60.00
Sites, in units of the cell vectors:
Ca 0.000 0.000 0.000
Eu 0.500 0.500 0.500
Ag 0.750 0.750 0.750
As 0.250 0.250 0.250

***

Record 18
Cs5LiAu4 | PBE-GGA | relaxed

Mass density in Mg/m³: 5.12
Formation energy in eV per formula unit: -2.54
SG: C2/m (12)
E_tot in eV per cell: -21.8
Crystal system: monoclinic

Lattice parameters (Å, degrees): 11.602 11.602 9.005 108.51 108.51 24.38
Sites, in units of the cell vectors:
Cs 0.000 0.000 0.000
Cs 0.315 0.315 0.709
Cs 0.362 0.362 0.250
Cs 0.638 0.638 0.750
Cs 0.685 0.685 0.291
Li 0.000 0.000 0.500
Au 0.107 0.107 0.436
Au 0.470 0.470 0.631
Au 0.530 0.530 0.369
Au 0.893 0.893 0.564

***

Record 19
ZrGa2F8 | PBE-GGA | relaxed

Mass density in Mg/m³: 3.81
SG: C2/m (12)
Formation energy from raw total energies in eV per atom: -2.661
E_tot in eV per cell: -58.8
Crystal system: monoclinic

Lattice parameters (Å, degrees): 6.048 6.048 5.670 94.57 94.57 53.77
Sites, in units of the cell vectors:
Zr 0.000 0.000 0.000
Ga 0.309 0.309 0.583
Ga 0.691 0.691 0.417
F 0.136 0.136 0.776
F 0.149 0.641 0.802
F 0.359 0.851 0.198
F 0.396 0.396 0.323
F 0.604 0.604 0.677
F 0.641 0.149 0.802
F 0.851 0.359 0.198
F 0.864 0.864 0.224

***

Record 20
Rb2Y4Nb | PBE-GGA | relaxed

Mass density in Mg/m³: 3.15
Formation energy in eV per formula unit: 5.00
SG: I4/mmm (139)
E_tot in eV per cell: -32.9
Crystal system: tetragonal

Lattice parameters (Å, degrees): 10.964 10.964 10.964 150.09 150.09 42.81
Sites, in units of the cell vectors:
Rb 0.164 0.164 0.000
Rb 0.836 0.836 0.000
Y 0.000 0.500 0.500
Y 0.368 0.368 0.000
Y 0.500 0.000 0.500
Y 0.632 0.632 0.000
Nb 0.500 0.500 0.000